# 1
PmSc5Al4 | PBE | relaxed

a = 3.3736 Å, b = 3.3736 Å, c = 18.6802 Å
α = 90.00°, β = 90.00°, γ = 90.00°
Atoms (fractional coordinates):
1 Sc 0.5000 0.5000 0.5000
2 Sc 0.5000 0.5000 0.8650
3 Al 0.0000 0.0000 0.2265
4 Sc 0.5000 0.5000 0.3189
5 Al 0.0000 0.0000 0.5907
6 Pm 0.0000 0.0000 0.0000
7 Al 0.0000 0.0000 0.7735
8 Sc 0.5000 0.5000 0.1350
9 Al 0.0000 0.0000 0.4093
10 Sc 0.5000 0.5000 0.6811

Properties
As for the total magnetization: 0.00 μB per cell. The energy relative to the elements comes out at -0.350 eV/atom. For the density of states at the Fermi level, the calculation gives 9.17 states/eV/f.u.

# 2
TbPmCl4 | PBE | relaxed

a = 5.4717 Å, b = 5.4717 Å, c = 6.6657 Å
α = 114.23°, β = 114.23°, γ = 90.00°
Atoms (fractional coordinates):
1 Tb 0.2500 0.7500 0.5000
2 Cl 0.7623 0.7623 0.5247
3 Cl 0.5059 0.0059 0.0117
4 Pm 0.5000 0.5000 0.0000
5 Cl 0.2377 0.2377 0.4753
6 Cl 0.9941 0.4941 0.9883

Properties
As for the total magnetization: 0.00 μB per cell. For the density of states at the Fermi level, the calculation gives 2.33 states/eV/f.u. The value obtained for the energy relative to the elements, uncorrected is -1.92 eV/atom.

# 3
Al8FeCu2 | PBE | relaxed

a = 4.2168 Å, b = 5.0263 Å, c = 8.5253 Å
α = 106.35°, β = 104.32°, γ = 90.00°
Atoms (fractional coordinates):
1 Al 0.2389 0.3188 0.4778
2 Al 0.0317 0.7956 0.0634
3 Cu 0.8163 0.2496 0.6327
4 Al 0.6480 0.0301 0.2960
5 Al 0.5837 0.4772 0.1673
6 Al 0.3520 0.9699 0.7040
7 Cu 0.1837 0.7504 0.3673
8 Al 0.4163 0.5228 0.8327
9 Al 0.9683 0.2044 0.9366
10 Fe 0.5000 0.0000 0.0000
11 Al 0.7611 0.6812 0.5222

Properties
As for the total magnetization: 0.00 μB per cell. The energy relative to the elements comes out at -0.120 eV/atom. For the density of states at the Fermi level, the calculation gives 5.68 states/eV/f.u.

# 4
NaThF4 | PBE | relaxed

a = 5.5252 Å, b = 5.9387 Å, c = 7.0208 Å
α = 115.03°, β = 116.91°, γ = 89.97°
Atoms (fractional coordinates):
1 F 0.6463 0.1324 0.7551
2 Na 0.5009 0.4968 0.9933
3 F 0.6457 0.6235 0.7541
4 F 0.1037 0.1176 0.7449
5 F 0.3753 0.8363 0.2505
6 Th 0.0328 0.0118 0.0235
7 F 0.8748 0.8932 0.2497
8 F 0.1043 0.6265 0.7459
9 Na 0.2491 0.7532 0.5067
10 Th 0.7172 0.2382 0.4765
11 F 0.8752 0.3567 0.2503
12 F 0.3747 0.4137 0.2495

Properties
As for the total magnetization: 2.00 μB per cell. For the density of states at the Fermi level, the calculation gives 0.00 states/eV/f.u. The value obtained for the energy relative to the elements, uncorrected is -3.38 eV/atom.

What is the total magnetization in the second record?
0.00 μB per cell

What did the fourth record say?
NaThF4 | PBE | relaxed

a = 5.5252 Å, b = 5.9387 Å, c = 7.0208 Å
α = 115.03°, β = 116.91°, γ = 89.97°
Atoms (fractional coordinates):
1 F 0.6463 0.1324 0.7551
2 Na 0.5009 0.4968 0.9933
3 F 0.6457 0.6235 0.7541
4 F 0.1037 0.1176 0.7449
5 F 0.3753 0.8363 0.2505
6 Th 0.0328 0.0118 0.0235
7 F 0.8748 0.8932 0.2497
8 F 0.1043 0.6265 0.7459
9 Na 0.2491 0.7532 0.5067
10 Th 0.7172 0.2382 0.4765
11 F 0.8752 0.3567 0.2503
12 F 0.3747 0.4137 0.2495

Properties
As for the total magnetization: 2.00 μB per cell. For the density of states at the Fermi level, the calculation gives 0.00 states/eV/f.u. The value obtained for the energy relative to the elements, uncorrected is -3.38 eV/atom.